Entry from the Alexandria database: a relaxed NdSm2TaN4 crystal (PBE).

The structure in extended XYZ format:
```
16
Lattice="-3.4328 3.4893 4.8864 3.4328 -3.4893 4.8864 3.4328 3.4893 -4.8864" Properties=species:S:1:pos:R:3 pbc="T T T"
Nd 0.0000 0.0000 0.0000
Nd 0.0000 3.4893 0.0000
Sm 3.4328 0.0000 0.0000
Sm -1.7164 1.7447 2.4432
Sm 0.0000 0.0000 4.8864
Sm 1.7164 1.7447 2.4432
Ta 1.7164 1.7447 -2.4432
Ta 1.7164 -1.7447 2.4432
N 3.4328 -0.2291 2.4286
N 3.4328 3.2602 -2.4286
N 1.7385 1.7447 -0.2585
N 5.1271 1.7447 -0.2585
N -1.6943 1.7447 5.1449
N 1.6943 1.7447 5.1449
N 0.0000 0.2291 7.3150
N 0.0000 3.7185 2.4578
```

Summary:
Formation energy without anion corrections ... -1007.3 kJ/mol of formula units
Density ... 9.67 Mg/m³
N(E_F) ... 0.22 states/eV per atom
Energy ... -139.60 eV per cell


Entry from the Alexandria database: a relaxed Pm6Tm8Zr crystal (PBE).

The structure in extended XYZ format:
```
15
Lattice="4.4924 2.5937 6.8173 -4.4924 2.5937 6.8173 0.0000 -5.1874 6.8173" Properties=species:S:1:pos:R:3 pbc="T T T"
Pm -2.5290 -2.0617 9.3362
Pm -3.0500 1.1593 11.1158
Pm 0.5210 -3.2210 11.1158
Pm -0.5210 3.2210 9.3361
Pm 3.0500 -1.1593 9.3361
Pm 2.5290 2.0617 11.1158
Tm 0.0000 0.0000 1.5675
Tm -1.7648 0.8306 7.3992
Tm 0.1630 -1.9437 7.3992
Tm -1.6017 -1.1130 13.0528
Tm 1.6017 1.1130 7.3992
Tm -0.1630 1.9437 13.0528
Tm 1.7648 -0.8306 13.0528
Tm 0.0000 0.0000 18.8844
Zr 0.0000 0.0000 10.2260
```

Summary:
Density ... 8.06 Mg/m³
N(E_F) ... 1.43 states/eV per atom
Energy ... -70.90 eV per cell
Formation energy from the elements ... 0.128 eV/atom


Entry from the Alexandria database: a relaxed AcRhI crystal (PBE).

The structure in extended XYZ format:
```
3
Lattice="0.0000 3.5362 3.5362 3.5362 0.0000 3.5362 3.5362 3.5362 0.0000" Properties=species:S:1:pos:R:3 pbc="T T T"
Ac 0.0000 0.0000 0.0000
Rh 1.7681 1.7681 1.7681
I 3.5362 3.5362 3.5362
```

Summary:
Formation energy without anion corrections ... -140.8 kJ/mol of formula units
Density ... 8.58 Mg/m³
N(E_F) ... 1.48 states/eV per atom
Offset from the most stable computed form ... 0.596 eV/atom
Energy ... -14.47 eV per cell


Entry from the Alexandria database: a relaxed CeYCdRu crystal (PBE).

The structure in extended XYZ format:
```
4
Lattice="0.0000 3.5975 3.5975 3.5975 0.0000 3.5975 3.5975 3.5975 0.0000" Properties=species:S:1:pos:R:3 pbc="T T T"
Ce 0.0000 0.0000 0.0000
Y 3.5975 3.5975 3.5975
Cd 5.3962 5.3962 5.3962
Ru 1.7987 1.7987 1.7987
```

Summary:
Density ... 7.89 Mg/m³
N(E_F) ... 1.36 states/eV per atom
Offset from the most stable computed form ... 0.138 eV/atom
Energy ... -23.38 eV per cell
Formation energy from the elements ... -0.198 eV/atom


Entry from the Alexandria database: a relaxed Rb2SnSe crystal (PBE).

The structure in extended XYZ format:
```
8
Lattice="-5.8850 5.8850 2.9590 5.8850 -5.8850 2.9590 5.8850 5.8850 -2.9590" Properties=species:S:1:pos:R:3 pbc="T T T"
Rb -1.3251 2.9425 0.7398
Rb 2.9425 4.5599 2.2193
Rb 1.3251 8.8275 0.7398
Rb -2.9425 7.2101 2.2193
Sn 5.8850 0.0000 1.4795
Sn 0.0000 0.0000 2.9590
Se 0.0000 0.0000 0.0000
Se 0.0000 5.8850 1.4795
```

Summary:
Formation energy without anion corrections ... -123.1 kJ/mol of formula units
Density ... 2.99 Mg/m³
N(E_F) ... 0.67 states/eV per atom
Offset from the most stable computed form ... 0.000 eV/atom
Energy ... -21.40 eV per cell


Entry from the Alexandria database: a relaxed LaGa2CuPd5 crystal (PBE).

The structure in extended XYZ format:
```
9
Lattice="4.7740 0.0000 0.0000 0.0000 4.7740 0.0000 0.0000 0.0000 7.2471" Properties=species:S:1:pos:R:3 pbc="T T T"
La 0.0000 0.0000 0.0000
Ga 2.3870 2.3870 2.4340
Ga 2.3870 2.3870 4.8131
Cu 0.0000 0.0000 3.6236
Pd 0.0000 2.3870 2.0824
Pd 0.0000 2.3870 5.1647
Pd 2.3870 0.0000 2.0824
Pd 2.3870 0.0000 5.1647
Pd 2.3870 2.3870 0.0000
```

Summary:
Density ... 8.79 Mg/m³
N(E_F) ... 0.54 states/eV per atom
Energy ... -44.45 eV per cell
Formation energy from the elements ... -0.379 eV/atom


Entry from the Alexandria database: a relaxed CeScTcO6 crystal (PBE).

The structure in extended XYZ format:
```
18
Lattice="4.8981 0.0000 0.0000 0.0000 4.8981 0.0000 0.0000 0.0000 9.8574" Properties=species:S:1:pos:R:3 pbc="T T T"
Ce 0.0000 0.0000 0.0000
Ce 2.4490 2.4490 4.9287
Sc 0.0000 0.0000 6.5199
Sc 2.4490 2.4490 1.5911
Tc 0.0000 0.0000 3.2498
Tc 2.4490 2.4490 8.1786
O 0.8902 0.8902 4.8171
O 0.9654 0.9654 1.8204
O 1.0652 1.0652 8.1023
O 1.3838 3.5142 3.1735
O 1.4836 3.4145 6.7491
O 1.5588 3.3393 9.7458
O 3.3393 1.5588 9.7458
O 3.4145 1.4836 6.7491
O 3.5142 1.3838 3.1735
O 3.8329 3.8329 8.1023
O 3.9326 3.9326 1.8204
O 4.0078 4.0078 4.8171
```

Summary:
Formation energy without anion corrections ... -2214.1 kJ/mol of formula units
Density ... 5.32 Mg/m³
N(E_F) ... 0.53 states/eV per atom
Energy ... -150.66 eV per cell


Entry from the Alexandria database: a relaxed CsTaS2N crystal (PBE).

The structure in extended XYZ format:
```
5
Lattice="5.3695 0.0000 0.0000 0.0000 5.3695 0.0000 0.0000 0.0000 4.0803" Properties=species:S:1:pos:R:3 pbc="T T T"
Cs 0.0000 0.0000 0.0000
Ta 2.6847 2.6847 2.0401
S 0.0000 2.6847 0.0000
S 2.6847 0.0000 0.0000
N 0.0000 0.0000 2.0401
```

Summary:
Formation energy without anion corrections ... 1219.1 kJ/mol of formula units
Density ... 5.53 Mg/m³
N(E_F) ... 1.28 states/eV per atom
Offset from the most stable computed form ... 3.050 eV/atom
Energy ... -16.65 eV per cell